This record from Alexandria via LeMat-Bulk describes crystalline YAlS3 at its relaxed geometry. The functional is PBE.

Summary:
Raw total energy = -6.003 eV/atom
E_form (uncorrected) = -7.424 eV per formula unit
V = 21.374 Å³/atom
Symmetry = R-3 (148)
M_tot = 0.00 μB per formula unit

extended XYZ file:
```
10
Lattice="3.240 1.871 5.876 -3.240 1.871 5.876 0.000 -3.742 5.876" Properties=species:S:1:pos:R:3 pbc="T T T"
Y 0.000 0.000 2.554
Y 0.000 0.000 15.075
Al 0.000 0.000 6.024
Al 0.000 0.000 11.605
S -2.105 -0.254 7.227
S -0.832 -1.950 10.402
S 1.273 -1.696 7.227
S -1.273 1.696 10.402
S 0.832 1.950 7.227
S 2.105 0.254 10.402
```

This record from Alexandria via LeMat-Bulk describes crystalline YAl6S8 at its relaxed geometry. The functional is PBE.

Summary:
Raw total energy = -4.969 eV/atom
E_form (uncorrected) = -12.591 eV per formula unit
V = 19.599 Å³/atom
Symmetry = R-3 (148)
M_tot = 0.01 μB per formula unit

extended XYZ file:
```
15
Lattice="4.867 2.810 3.583 -4.867 2.810 3.583 0.000 -5.620 3.583" Properties=species:S:1:pos:R:3 pbc="T T T"
Y 0.000 0.000 0.000
Al -0.447 -1.788 4.302
Al -1.325 1.281 4.302
Al -1.772 -0.507 6.446
Al 1.772 0.507 4.302
Al 1.325 -1.281 6.446
Al 0.447 1.788 6.446
S -3.422 0.355 4.497
S -2.019 -2.786 6.251
S 0.000 0.000 2.832
S 1.403 -3.142 4.497
S -1.403 3.142 6.251
S 0.000 0.000 7.917
S 2.019 2.786 4.497
S 3.422 -0.355 6.251
```

This record from Alexandria via LeMat-Bulk describes crystalline YAlS at its relaxed geometry. The functional is PBE.

Summary:
Raw total energy = -5.939 eV/atom
E_form (uncorrected) = -3.482 eV per formula unit
V = 22.072 Å³/atom
Symmetry = I4/mmm (139)
M_tot = 0.00 μB per formula unit

extended XYZ file:
```
12
Lattice="3.837 0.000 0.000 0.000 3.837 0.000 0.000 0.000 17.994" Properties=species:S:1:pos:R:3 pbc="T T T"
Y 0.000 0.000 2.851
Y 0.000 0.000 15.143
Y 1.918 1.918 6.146
Y 1.918 1.918 11.848
Al 0.000 1.918 0.000
Al 0.000 1.918 8.997
Al 1.918 0.000 0.000
Al 1.918 0.000 8.997
S 0.000 0.000 5.679
S 0.000 0.000 12.315
S 1.918 1.918 3.318
S 1.918 1.918 14.676
```

This record from Alexandria via LeMat-Bulk describes crystalline Y4Al2S at its relaxed geometry. The functional is PBE.

Summary:
Raw total energy = -6.173 eV/atom
E_form (uncorrected) = -5.743 eV per formula unit
V = 25.436 Å³/atom
Symmetry = C2/m (12)
M_tot = 0.00 μB per formula unit

extended XYZ file:
```
14
Lattice="12.263 0.000 0.000 0.000 4.029 0.000 -4.956 0.000 7.208" Properties=species:S:1:pos:R:3 pbc="T T T"
Y -0.695 0.000 2.632
Y 1.713 2.014 0.550
Y -0.537 0.000 6.658
Y 1.871 2.014 4.576
Y 5.436 2.014 2.632
Y 7.844 0.000 0.550
Y 5.594 2.014 6.658
Y 8.002 0.000 4.576
Al -1.819 2.014 4.771
Al 2.995 0.000 2.437
Al 4.312 0.000 4.771
Al 9.126 2.014 2.437
S 0.000 0.000 0.000
S 6.131 2.014 0.000
```

This record from Alexandria via LeMat-Bulk describes crystalline YAlS at its relaxed geometry. The functional is PBE.

Summary:
Raw total energy = -5.854 eV/atom
E_form (uncorrected) = -3.229 eV per formula unit
V = 20.970 Å³/atom
Symmetry = C2/m (12)
M_tot = 0.00 μB per formula unit

extended XYZ file:
```
12
Lattice="9.979 0.000 0.000 0.000 3.617 0.000 -0.492 0.000 6.972" Properties=species:S:1:pos:R:3 pbc="T T T"
Y 0.755 0.000 2.121
Y 3.743 1.808 4.851
Y 5.744 1.808 2.121
Y 8.733 0.000 4.851
Al 0.937 1.808 6.764
Al 3.560 0.000 0.207
Al 5.927 0.000 6.764
Al 8.550 1.808 0.207
S 0.967 1.808 4.409
S 3.531 0.000 2.563
S 5.957 0.000 4.409
S 8.520 1.808 2.563
```

This record from Alexandria via LeMat-Bulk describes crystalline YAlS at its relaxed geometry. The functional is PBE.

Summary:
Raw total energy = -5.924 eV/atom
E_form (uncorrected) = -3.439 eV per formula unit
V = 21.976 Å³/atom
Symmetry = Amm2 (38)
M_tot = 0.00 μB per formula unit

extended XYZ file:
```
12
Lattice="3.772 0.000 0.000 0.000 3.862 0.000 0.000 0.000 18.098" Properties=species:S:1:pos:R:3 pbc="T T T"
Y 0.000 0.000 0.000
Y 0.000 1.931 9.049
Y 1.886 0.000 5.586
Y 1.886 1.931 14.636
Al 0.000 0.000 12.271
Al 0.000 1.931 3.222
Al 1.886 0.000 2.553
Al 1.886 1.931 11.602
S 0.000 0.000 15.049
S 0.000 1.931 6.000
S 1.886 0.000 8.410
S 1.886 1.931 17.459
```